No. 1
Compound: CeEr2ThSe4
Source: Alexandria via LeMat-Bulk
Functional: GGA-PBE
Structure: optimized geometry

a = 7.008 Å, b = 4.051 Å, c = 7.348 Å
α = 90.00°, β = 108.59°, γ = 90.00°
Sites, in units of the cell vectors:
Ce: 0.000 0.000 0.000
Er: 0.000 0.500 0.500
Er: 0.500 0.000 0.500
Th: 0.500 0.500 0.000
Se: 0.243 0.000 0.732
Se: 0.255 0.500 0.267
Se: 0.745 0.500 0.733
Se: 0.757 0.000 0.268

The raw formation energy is -1692 meV per atom.


No. 2
Compound: CeErTh2Se4
Source: Alexandria via LeMat-Bulk
Functional: GGA-PBE
Structure: optimized geometry

a = 7.095 Å, b = 4.117 Å, c = 7.355 Å
α = 90.00°, β = 108.82°, γ = 90.00°
Sites, in units of the cell vectors:
Ce: 0.000 0.000 0.000
Er: 0.500 0.500 0.000
Th: 0.000 0.500 0.500
Th: 0.500 0.000 0.500
Se: 0.254 0.500 0.240
Se: 0.261 0.000 0.764
Se: 0.739 0.000 0.236
Se: 0.746 0.500 0.760

The raw formation energy is -1648 meV per atom.


No. 3
Compound: Ce2Er3ThSe6
Source: Alexandria via LeMat-Bulk
Functional: GGA-PBE
Structure: optimized geometry

a = 9.329 Å, b = 9.329 Å, c = 8.389 Å
α = 105.98°, β = 105.98°, γ = 25.07°
Sites, in units of the cell vectors:
Ce: 0.165 0.165 0.330
Ce: 0.835 0.835 0.670
Er: 0.166 0.166 0.832
Er: 0.500 0.500 0.500
Er: 0.834 0.834 0.168
Th: 0.500 0.500 0.000
Se: 0.004 0.004 0.739
Se: 0.329 0.329 0.927
Se: 0.336 0.336 0.409
Se: 0.664 0.664 0.591
Se: 0.671 0.671 0.073
Se: 0.996 0.996 0.261

The raw formation energy is -1718 meV per atom.


No. 4
Compound: Ce3ErTh2Se6
Source: Alexandria via LeMat-Bulk
Functional: GGA-PBE
Structure: optimized geometry

a = 7.239 Å, b = 7.239 Å, c = 7.202 Å
α = 99.64°, β = 99.64°, γ = 119.84°
Sites, in units of the cell vectors:
Ce: 0.000 0.000 0.000
Ce: 0.329 0.671 0.000
Ce: 0.671 0.329 0.000
Er: 0.500 0.500 0.500
Th: 0.166 0.834 0.500
Th: 0.834 0.166 0.500
Se: 0.095 0.419 0.255
Se: 0.260 0.260 0.750
Se: 0.419 0.095 0.255
Se: 0.581 0.905 0.745
Se: 0.740 0.740 0.250
Se: 0.905 0.581 0.745

The raw formation energy is -1708 meV per atom.


No. 5
Compound: CeErTl2Se4
Source: Alexandria via LeMat-Bulk
Functional: GGA-PBE
Structure: optimized geometry

a = 7.370 Å, b = 4.251 Å, c = 8.130 Å
α = 90.00°, β = 107.46°, γ = 90.00°
Sites, in units of the cell vectors:
Ce: 0.000 0.000 0.000
Er: 0.500 0.500 0.000
Tl: 0.000 0.500 0.500
Tl: 0.500 0.000 0.500
Se: 0.245 0.500 0.207
Se: 0.275 0.000 0.797
Se: 0.725 0.000 0.203
Se: 0.755 0.500 0.793

The raw formation energy is -1342 meV per atom.


No. 6
Compound: CeEr2Tl3Se6
Source: Alexandria via LeMat-Bulk
Functional: GGA-PBE
Structure: optimized geometry

a = 7.307 Å, b = 7.307 Å, c = 8.141 Å
α = 98.60°, β = 98.60°, γ = 119.98°
Sites, in units of the cell vectors:
Ce: 0.000 0.000 0.000
Er: 0.333 0.667 0.000
Er: 0.667 0.333 0.000
Tl: 0.165 0.835 0.500
Tl: 0.500 0.500 0.500
Tl: 0.835 0.165 0.500
Se: 0.068 0.412 0.205
Se: 0.276 0.276 0.797
Se: 0.412 0.068 0.205
Se: 0.588 0.932 0.795
Se: 0.724 0.724 0.203
Se: 0.932 0.588 0.795

The raw formation energy is -1352 meV per atom.


Short version: total energy = -6.24 -6.56 -6.21 -6.55 -4.99 -4.94 eV per atom, in the order given.